[1]
## Si2WCl (PBE)

Data for a relaxed Si2WCl crystal.

Structure (extended XYZ):
```
4
Lattice="-0.044 -4.035 -1.385 2.351 -2.814 -2.180 4.019 -4.272 5.553" Properties=species:S:1:pos:R:3 pbc="T T T"
Cl 1.652 -2.439 1.233
Si 3.586 -3.875 4.859
Si 4.711 -8.438 1.241
W 3.558 -6.201 1.203
```

Formation energy (no corrections)   0.983 eV per formula unit
Magnetic moment   0.00 Bohr magnetons per cell

***

[2]
## HfCdCu2Ag (PBE)

Data for a relaxed HfCdCu2Ag crystal.

Structure (extended XYZ):
```
5
Lattice="-0.310 -4.061 2.370 1.593 -2.639 -4.314 4.484 0.460 1.375" Properties=species:S:1:pos:R:3 pbc="T T T"
Hf 0.797 -1.320 -2.157
Cu 2.242 0.230 0.687
Cu -0.155 -2.031 1.185
Ag 2.884 -3.120 -0.285
Cd 0.000 0.000 0.000
```

DFT formation energy   1.114 eV per atom
Magnetic moment   0.00 Bohr magnetons per cell